K2ZrTaP | PBE-GGA | optimized geometry

Properties
The formation energy comes out at 1.47 eV per atom. Its size of the total moment is 5.1 μB per formula unit.

Geometry as POSCAR:
```
K2ZrTaP
1.0
6.7242 0.0000 0.0000
0.0000 6.7242 0.0000
0.0000 0.0000 4.7011
K Zr Ta P
2 1 1 1
Cartesian
0.0000 3.3621 0.0000
3.3621 0.0000 0.0000
0.0000 0.0000 2.3505
3.3621 3.3621 0.0000
3.3621 3.3621 2.3505
```